Record 1
Compound: Cr2Pd
Source: Alexandria
Functional: GGA-PBE
Structure: relaxed

Values from the calculation:
The formation energy is 0.11 eV/atom. The raw total energy comes out at -8.04 eV/atom. The magnetization comes out at 0.000 μB/atom. The space group is Fd-3m (227).

Cell lengths 4.778, 4.778, 4.778 Å; angles 60.00, 60.00, 60.00 degrees
Atoms (fractional coordinates):
Cr 0.000 0.000 0.000
Cr 0.000 0.000 0.500
Cr 0.000 0.500 0.000
Cr 0.500 0.000 0.000
Pd 0.375 0.375 0.375
Pd 0.625 0.625 0.625



Record 2
Compound: CrPd
Source: Alexandria
Functional: GGA-PBE
Structure: relaxed

Values from the calculation:
The formation energy is 1.24 eV/atom. The raw total energy comes out at -6.17 eV/atom. The magnetization comes out at 1.946 μB/atom. The space group is Pm-3n (223).

Cell lengths 7.026, 7.026, 7.026 Å; angles 90.00, 90.00, 90.00 degrees
Atoms (fractional coordinates):
Cr 0.000 0.250 0.500
Cr 0.000 0.750 0.500
Cr 0.250 0.500 0.000
Cr 0.500 0.000 0.250
Cr 0.500 0.000 0.750
Cr 0.750 0.500 0.000
Pd 0.000 0.500 0.250
Pd 0.000 0.500 0.750
Pd 0.250 0.000 0.500
Pd 0.500 0.250 0.000
Pd 0.500 0.750 0.000
Pd 0.750 0.000 0.500



Record 3
Compound: Cr4Pd
Source: Alexandria
Functional: GGA-PBE
Structure: relaxed

Values from the calculation:
The formation energy is 1.61 eV/atom. The raw total energy comes out at -7.12 eV/atom. The magnetization comes out at 3.412 μB/atom. The space group is Pm-3m (221).

Cell lengths 4.856, 4.856, 4.856 Å; angles 90.00, 90.00, 90.00 degrees
Atoms (fractional coordinates):
Cr 0.000 0.000 0.000
Cr 0.000 0.500 0.500
Cr 0.500 0.000 0.500
Cr 0.500 0.500 0.000
Pd 0.500 0.500 0.500



Record 4
Compound: CrPd
Source: Alexandria
Functional: GGA-PBE
Structure: relaxed

Values from the calculation:
The formation energy is 0.91 eV/atom. The raw total energy comes out at -6.50 eV/atom. The magnetization comes out at 1.878 μB/atom. The space group is P6_3/mmc (194).

Cell lengths 4.350, 4.350, 5.161 Å; angles 90.00, 90.00, 120.00 degrees
Atoms (fractional coordinates):
Cr 0.333 0.667 0.250
Cr 0.667 0.333 0.750
Pd 0.333 0.667 0.750
Pd 0.667 0.333 0.250



Record 5
Compound: CrPd
Source: Alexandria
Functional: GGA-PBE
Structure: relaxed

Values from the calculation:
The formation energy is 0.17 eV/atom. The raw total energy comes out at -7.24 eV/atom. The magnetization comes out at 0.432 μB/atom. The space group is Imm2 (44).

Cell lengths 6.592, 6.592, 6.592 Å; angles 155.23, 54.73, 132.03 degrees
Atoms (fractional coordinates):
Cr 0.000 0.000 0.000
Cr 0.635 0.263 0.372
Cr 0.891 0.263 0.628
Pd 0.065 0.750 0.316
Pd 0.434 0.750 0.684
Pd 0.472 0.472 0.000



Record 6
Compound: CrPd3
Source: Alexandria
Functional: GGA-PBE
Structure: relaxed

Values from the calculation:
The formation energy is 0.00 eV/atom. The raw total energy comes out at -6.30 eV/atom. The magnetization comes out at 0.908 μB/atom. The space group is Imm2 (44).

Cell lengths 5.278, 5.278, 5.278 Å; angles 148.47, 62.88, 127.12 degrees
Atoms (fractional coordinates):
Cr 0.000 0.000 0.000
Pd 0.112 0.372 0.740
Pd 0.493 0.993 0.500
Pd 0.632 0.372 0.260



Record 7
Compound: CrPd3
Source: Alexandria
Functional: GGA-PBE
Structure: relaxed

Values from the calculation:
The formation energy is 0.08 eV/atom. The raw total energy comes out at -6.22 eV/atom. The magnetization comes out at 0.962 μB/atom. The space group is R-3m (166).

Cell lengths 5.148, 5.148, 5.148 Å; angles 116.85, 116.85, 116.85 degrees
Atoms (fractional coordinates):
Cr 0.000 0.000 0.000
Pd 0.000 0.500 0.500
Pd 0.500 0.000 0.500
Pd 0.500 0.500 0.000



Record 8
Compound: CrPd
Source: Alexandria
Functional: GGA-PBE
Structure: relaxed

Values from the calculation:
The formation energy is 0.26 eV/atom. The raw total energy comes out at -7.15 eV/atom. The magnetization comes out at 0.087 μB/atom. The space group is P4/m (83).

Cell lengths 9.229, 9.229, 2.823 Å; angles 90.00, 90.00, 90.00 degrees
Atoms (fractional coordinates):
Cr 0.092 0.804 0.000
Cr 0.104 0.282 0.500
Cr 0.196 0.092 0.000
Cr 0.282 0.896 0.500
Cr 0.718 0.104 0.500
Cr 0.804 0.908 0.000
Cr 0.896 0.718 0.500
Cr 0.908 0.196 0.000
Pd 0.138 0.567 0.500
Pd 0.324 0.378 0.000
Pd 0.378 0.676 0.000
Pd 0.433 0.138 0.500
Pd 0.567 0.862 0.500
Pd 0.622 0.324 0.000
Pd 0.676 0.622 0.000
Pd 0.862 0.433 0.500



Record 9
Compound: CrPd
Source: Alexandria
Functional: GGA-PBE
Structure: relaxed

Values from the calculation:
The formation energy is 0.11 eV/atom. The raw total energy comes out at -7.30 eV/atom. The magnetization comes out at 0.661 μB/atom. The space group is Pmmn (59).

Cell lengths 2.895, 13.393, 4.583 Å; angles 90.00, 90.00, 90.00 degrees
Atoms (fractional coordinates):
Cr 0.250 0.100 0.114
Cr 0.250 0.400 0.114
Cr 0.250 0.750 0.762
Cr 0.750 0.250 0.238
Cr 0.750 0.600 0.886
Cr 0.750 0.900 0.886
Pd 0.250 0.250 0.730
Pd 0.250 0.580 0.385
Pd 0.250 0.920 0.385
Pd 0.750 0.080 0.615
Pd 0.750 0.420 0.615
Pd 0.750 0.750 0.270



Record 10
Compound: CrPd
Source: Alexandria
Functional: GGA-PBE
Structure: relaxed

Values from the calculation:
The formation energy is 0.65 eV/atom. The raw total energy comes out at -6.76 eV/atom. The magnetization comes out at 1.930 μB/atom. The space group is Fm-3m (225).

Cell lengths 3.676, 3.676, 3.676 Å; angles 60.00, 60.00, 60.00 degrees
Atoms (fractional coordinates):
Cr 0.000 0.000 0.000
Pd 0.500 0.500 0.500



Record 11
Compound: CrPd3
Source: Alexandria
Functional: GGA-PBE
Structure: relaxed

Values from the calculation:
The formation energy is 0.01 eV/atom. The raw total energy comes out at -6.29 eV/atom. The magnetization comes out at 0.938 μB/atom. The space group is Pmm2 (25).

Cell lengths 2.879, 4.486, 4.709 Å; angles 90.00, 90.00, 90.00 degrees
Atoms (fractional coordinates):
Cr 0.000 0.000 0.000
Pd 0.000 0.500 0.652
Pd 0.500 0.000 0.503
Pd 0.500 0.500 0.148



Record 12
Compound: CrPd
Source: Alexandria
Functional: GGA-PBE
Structure: relaxed

Values from the calculation:
The formation energy is 0.70 eV/atom. The raw total energy comes out at -6.71 eV/atom. The magnetization comes out at 0.271 μB/atom. The space group is P4_2/mnm (136).

Cell lengths 5.052, 5.052, 5.070 Å; angles 90.00, 90.00, 90.00 degrees
Atoms (fractional coordinates):
Cr 0.135 0.135 0.000
Cr 0.365 0.635 0.500
Cr 0.635 0.365 0.500
Cr 0.865 0.865 0.000
Pd 0.179 0.179 0.500
Pd 0.321 0.679 0.000
Pd 0.679 0.321 0.000
Pd 0.821 0.821 0.500



Record 13
Compound: CrPd3
Source: Alexandria
Functional: GGA-PBE
Structure: relaxed

Values from the calculation:
The formation energy is -0.08 eV/atom. The raw total energy comes out at -6.38 eV/atom. The magnetization comes out at 0.658 μB/atom. The space group is Pm-3m (221).

Cell lengths 3.903, 3.903, 3.903 Å; angles 90.00, 90.00, 90.00 degrees
Atoms (fractional coordinates):
Cr 0.000 0.000 0.000
Pd 0.000 0.500 0.500
Pd 0.500 0.000 0.500
Pd 0.500 0.500 0.000



Record 14
Compound: CrPd3
Source: Alexandria
Functional: GGA-PBE
Structure: relaxed

Values from the calculation:
The formation energy is -0.04 eV/atom. The raw total energy comes out at -6.34 eV/atom. The magnetization comes out at 0.750 μB/atom. The space group is I4/mmm (139).

Cell lengths 4.768, 4.768, 4.768 Å; angles 131.19, 131.19, 71.51 degrees
Atoms (fractional coordinates):
Cr 0.000 0.000 0.000
Pd 0.250 0.750 0.500
Pd 0.500 0.500 0.000
Pd 0.750 0.250 0.500



Record 15
Compound: CrPd
Source: Alexandria
Functional: GGA-PBE
Structure: relaxed

Values from the calculation:
The formation energy is 0.40 eV/atom. The raw total energy comes out at -7.01 eV/atom. The magnetization comes out at 0.000 μB/atom. The space group is Fddd (70).

Cell lengths 6.164, 5.717, 5.072 Å; angles 69.39, 60.24, 50.37 degrees
Atoms (fractional coordinates):
Cr 0.018 0.732 0.732
Cr 0.268 0.982 0.982
Cr 0.732 0.018 0.018
Cr 0.982 0.268 0.268
Pd 0.202 0.548 0.202
Pd 0.452 0.798 0.452
Pd 0.548 0.202 0.548
Pd 0.798 0.452 0.798



Record 16
Compound: CrPd
Source: Alexandria
Functional: GGA-PBE
Structure: relaxed

Values from the calculation:
The formation energy is 0.24 eV/atom. The raw total energy comes out at -7.17 eV/atom. The magnetization comes out at 0.426 μB/atom. The space group is R-3m (166).

Cell lengths 4.658, 4.658, 4.658 Å; angles 33.37, 33.37, 33.37 degrees
Atoms (fractional coordinates):
Cr 0.000 0.000 0.000
Pd 0.500 0.500 0.500



Record 17
Compound: CrPd
Source: Alexandria
Functional: GGA-PBE
Structure: relaxed

Values from the calculation:
The formation energy is 1.31 eV/atom. The raw total energy comes out at -6.09 eV/atom. The magnetization comes out at 0.000 μB/atom. The space group is I-43m (217).

Cell lengths 6.387, 6.387, 6.387 Å; angles 109.47, 109.47, 109.47 degrees
Atoms (fractional coordinates):
Cr 0.000 0.000 0.781
Cr 0.000 0.781 0.000
Cr 0.219 0.219 0.219
Cr 0.781 0.000 0.000
Pd 0.000 0.000 0.410
Pd 0.000 0.410 0.000
Pd 0.410 0.000 0.000
Pd 0.590 0.590 0.590



Record 18
Compound: CrPd
Source: Alexandria
Functional: GGA-PBE
Structure: relaxed

Values from the calculation:
The formation energy is 0.36 eV/atom. The raw total energy comes out at -7.05 eV/atom. The magnetization comes out at 0.000 μB/atom. The space group is P6_3/m (176).

Cell lengths 8.821, 8.821, 2.643 Å; angles 90.00, 90.00, 120.00 degrees
Atoms (fractional coordinates):
Cr 0.171 0.543 0.250
Cr 0.372 0.829 0.250
Cr 0.457 0.628 0.250
Cr 0.543 0.372 0.750
Cr 0.628 0.171 0.750
Cr 0.829 0.457 0.750
Pd 0.042 0.746 0.250
Pd 0.254 0.295 0.250
Pd 0.295 0.042 0.750
Pd 0.705 0.958 0.250
Pd 0.746 0.705 0.750
Pd 0.958 0.254 0.750



Record 19
Compound: CrPd
Source: Alexandria
Functional: GGA-PBE
Structure: relaxed

Values from the calculation:
The formation energy is 1.20 eV/atom. The raw total energy comes out at -6.21 eV/atom. The magnetization comes out at 1.906 μB/atom. The space group is F-43m (216).

Cell lengths 4.038, 4.038, 4.038 Å; angles 60.00, 60.00, 60.00 degrees
Atoms (fractional coordinates):
Cr 0.000 0.000 0.000
Pd 0.750 0.750 0.750



Record 20
Compound: CrPd
Source: Alexandria
Functional: GGA-PBE
Structure: relaxed

Values from the calculation:
The formation energy is 0.52 eV/atom. The raw total energy comes out at -6.89 eV/atom. The magnetization comes out at 0.000 μB/atom. The space group is I4/m (87).

Cell lengths 7.344, 7.344, 7.344 Å; angles 91.96, 91.96, 158.69 degrees
Atoms (fractional coordinates):
Cr 0.193 0.693 0.886
Cr 0.307 0.193 0.499
Cr 0.693 0.807 0.501
Cr 0.807 0.307 0.114
Pd 0.307 0.484 0.791
Pd 0.484 0.693 0.177
Pd 0.516 0.307 0.823
Pd 0.693 0.516 0.209



Record 21
Compound: CrPd
Source: Alexandria
Functional: GGA-PBE
Structure: relaxed

Values from the calculation:
The formation energy is 0.01 eV/atom. The raw total energy comes out at -7.40 eV/atom. The magnetization comes out at 0.020 μB/atom. The space group is Pnma (62).

Cell lengths 9.556, 4.405, 5.541 Å; angles 90.00, 90.00, 90.00 degrees
Atoms (fractional coordinates):
Cr 0.085 0.250 0.247
Cr 0.167 0.750 0.502
Cr 0.333 0.250 0.002
Cr 0.415 0.750 0.747
Cr 0.585 0.250 0.253
Cr 0.667 0.750 0.998
Cr 0.833 0.250 0.498
Cr 0.915 0.750 0.753
Pd 0.082 0.250 0.742
Pd 0.167 0.750 0.995
Pd 0.333 0.250 0.495
Pd 0.418 0.750 0.242
Pd 0.582 0.250 0.758
Pd 0.667 0.750 0.505
Pd 0.833 0.250 0.005
Pd 0.918 0.750 0.258



Record 22
Compound: CrPd8Pt2
Source: Alexandria
Functional: GGA-PBE
Structure: relaxed

Values from the calculation:
The formation energy is -0.06 eV/atom. The raw total energy comes out at -5.80 eV/atom. The energy above the most stable polymorph in this dataset is 0 meV per atom. The magnetization comes out at 0.171 μB/atom. The space group is C2/m (12).

Cell lengths 7.369, 7.369, 6.200 Å; angles 104.32, 104.32, 30.96 degrees
Atoms (fractional coordinates):
Cr 0.000 0.000 0.000
Pd 0.090 0.090 0.447
Pd 0.180 0.180 0.908
Pd 0.366 0.366 0.823
Pd 0.455 0.455 0.268
Pd 0.545 0.545 0.732
Pd 0.634 0.634 0.177
Pd 0.820 0.820 0.092
Pd 0.910 0.910 0.553
Pt 0.274 0.274 0.366
Pt 0.726 0.726 0.634